(1)
Material: ZrBRh3
Method: DFT, PBE-GGA
State: optimized geometry

Computed properties:
DOS(E_F) = 8.0 states/eV/cell
Calculated formation energy = -0.34 eV/atom
Final energy = -0.2863 Ha/atom

Lattice parameters (Å, degrees): 5.2776 5.2776 5.2776 88.28 88.28 88.28
Closest atoms and distances in Å follow each position.
Positions (direct):
Zr 0.0000 0.0000 0.0000  2 B 2.35
Zr 0.5000 0.5000 0.5000  2 B 2.35
Rh 0.4770 0.7500 0.0230  1 B 2.01
Rh 0.7500 0.0230 0.4770  1 B 2.01
Rh 0.5230 0.2500 0.9770  1 B 2.01
Rh 0.2500 0.9770 0.5230  1 B 2.01
Rh 0.9770 0.5230 0.2500  1 B 2.01
Rh 0.0230 0.4770 0.7500  1 B 2.01
B 0.2500 0.2500 0.2500  3 Rh 2.01
B 0.7500 0.7500 0.7500  3 Rh 2.01

=====

(2)
Material: SbPt2Cl
Method: DFT, PBE-GGA
State: optimized geometry

Computed properties:
DOS(E_F) = 2.4 states/eV/cell
Formation energy (no corrections) = 0.32 eV/atom
ΔE to the lowest computed polymorph = 491 meV/atom
Final energy = -0.1541 Ha/atom

Lattice parameters (Å, degrees): 4.6226 4.6226 3.5213 90.00 90.00 99.79
Closest atoms and distances in Å follow each position.
Positions (direct):
Cl 0.0000 0.5000 0.5000  8 Pt 2.91, 2 Sb 2.98
Pt 0.5000 0.5000 0.0000  4 Cl 2.91, 4 Sb 2.91, 2 Pt 2.98
Pt 0.0000 0.0000 0.0000  4 Sb 2.91, 4 Cl 2.91, 2 Pt 2.98
Sb 0.5000 0.0000 0.5000  8 Pt 2.91, 2 Cl 2.98

=====

(3)
Material: Ba2ThAg
Method: DFT, PBE-GGA
State: optimized geometry

Computed properties:
DOS(E_F) = 5.6 states/eV/cell
Calculated formation energy = 0.42 eV/atom
Final energy = -0.1143 Ha/atom

Lattice parameters (Å, degrees): 3.7446 3.7446 12.8734 81.64 81.64 60.00
Closest atoms and distances in Å follow each position.
Positions (direct):
Th 0.0000 0.0000 0.0000  6 Th 3.74, 2 Ba 3.75
Ba 0.9014 0.9014 0.2957  3 Ag 3.38, 6 Ba 3.74, 1 Th 3.75
Ba 0.0986 0.0986 0.7043  3 Ag 3.38, 6 Ba 3.74, 1 Th 3.75
Ag 0.5000 0.5000 0.5000  6 Ba 3.38, 6 Ag 3.74

=====

(4)
Material: CaSi3O
Method: DFT, PBE-GGA
State: optimized geometry

Computed properties:
DOS(E_F) = 5.2 states/eV/cell
Formation energy (no corrections) = 1.92 eV/atom
ΔE to the lowest computed polymorph = 2012 meV/atom
Final energy = -0.1002 Ha/atom

Lattice parameters (Å, degrees): 5.4014 5.4014 5.4014 90.00 90.00 90.00
Closest atoms and distances in Å follow each position.
Positions (direct):
Ca 0.0000 0.0000 0.0000  6 Si 2.70
O 0.5000 0.5000 0.5000  12 Si 3.82
Si 0.0000 0.0000 0.5000  2 Ca 2.70
Si 0.5000 0.0000 0.0000  2 Ca 2.70
Si 0.0000 0.5000 0.0000  2 Ca 2.70

=====

(5)
Material: LaCuTc2
Method: DFT, PBE-GGA
State: optimized geometry

Computed properties:
DOS(E_F) = 4.2 states/eV/cell
ΔE to the lowest computed polymorph = 611 meV/atom
Calculated formation energy = 0.67 eV/atom
Final energy = -0.2489 Ha/atom

Lattice parameters (Å, degrees): 5.4506 5.4506 2.6584 90.00 90.00 116.43
Closest atoms and distances in Å follow each position.
Positions (direct):
Cu 0.5000 0.0000 0.5000  2 Cu 2.66, 2 La 2.87
La 0.0000 0.5000 0.5000  2 La 2.66, 2 Cu 2.87
Tc 0.5000 0.5000 0.0000  4 Tc 2.66-2.87
Tc 0.0000 0.0000 0.0000  4 Tc 2.66-2.87

=====

(6)
Material: NaV2Rh2
Method: DFT, PBE-GGA
State: optimized geometry

Computed properties:
DOS(E_F) = 9.3 states/eV/cell
ΔE to the lowest computed polymorph = 0 meV/atom
Calculated formation energy = -0.05 eV/atom
Final energy = -0.2537 Ha/atom

Lattice parameters (Å, degrees): 7.5935 7.5935 2.7120 90.00 90.00 90.00
Closest atoms and distances in Å follow each position.
Positions (direct):
Rh 0.3574 0.8574 0.0000  6 V 2.59-2.62, 2 Rh 2.71
Rh 0.1426 0.3574 0.0000  6 V 2.59-2.62, 2 Rh 2.71
Rh 0.6426 0.1426 0.0000  6 V 2.59-2.62, 2 Rh 2.71
Rh 0.8574 0.6426 0.0000  6 V 2.59-2.62, 2 Rh 2.71
Na 0.5000 0.5000 0.0000  2 Na 2.71, 4 Rh 2.92
Na 0.0000 0.0000 0.0000  2 Na 2.71, 4 Rh 2.92
V 0.1486 0.6486 0.5000  6 Rh 2.59-2.62, 2 V 2.71
V 0.8514 0.3514 0.5000  6 Rh 2.59-2.62, 2 V 2.71
V 0.6486 0.8514 0.5000  6 Rh 2.59-2.62, 2 V 2.71
V 0.3514 0.1486 0.5000  6 Rh 2.59-2.62, 2 V 2.71

=====

(7)
Material: Ni2AgAu
Method: DFT, PBE-GGA
State: optimized geometry

Computed properties:
DOS(E_F) = 6.2 states/eV/cell
Calculated formation energy = 0.20 eV/atom
Final energy = -0.1554 Ha/atom

Lattice parameters (Å, degrees): 3.9794 3.9771 3.6393 90.00 90.00 90.00
Closest atoms and distances in Å follow each position.
Positions (direct):
Ag 0.5000 0.0000 0.5000  8 Ni 2.70, 4 Au 2.81
Au 0.0000 0.5000 0.5000  8 Ni 2.70, 4 Ag 2.81
Ni 0.0000 0.0000 0.0000  4 Au 2.70, 4 Ag 2.70, 4 Ni 2.81
Ni 0.5000 0.5000 0.0000  4 Ag 2.70, 4 Au 2.70, 4 Ni 2.81

=====

(8)
Material: Zr2ScTa
Method: DFT, PBE-GGA
State: optimized geometry

Computed properties:
DOS(E_F) = 5.7 states/eV/cell
Calculated formation energy = 0.14 eV/atom
Final energy = -0.3188 Ha/atom

Lattice parameters (Å, degrees): 5.4194 5.4194 5.5018 81.47 81.47 33.07
Closest atoms and distances in Å follow each position.
Positions (direct):
Ta 0.2503 0.2503 0.2521  7 Zr 3.06-3.19, 3 Sc 3.07-3.16, 2 Ta 3.08
Zr 0.7503 0.7503 0.7452  3 Sc 3.07-3.21, 5 Zr 3.08-3.25, 4 Ta 3.12-3.19
Zr 0.9917 0.9917 0.0117  3 Ta 3.06-3.17, 4 Sc 3.08-3.24, 5 Zr 3.08-3.25
Sc 0.5077 0.5077 0.4910  7 Zr 3.07-3.24, 3 Ta 3.07-3.16, 2 Sc 3.08

=====

(9)
Material: BeCuSi
Method: DFT, PBE-GGA
State: optimized geometry

Computed properties:
DOS(E_F) = 1.1 states/eV/cell
Formation energy (no corrections) = 0.07 eV/atom
ΔE to the lowest computed polymorph = 27 meV/atom
Final energy = -0.1597 Ha/atom

Lattice parameters (Å, degrees): 3.7811 3.7811 3.7811 60.00 60.00 60.00
Closest atoms and distances in Å follow each position.
Positions (direct):
Si 0.0000 0.0000 0.0000  4 Cu 2.32
Be 0.5000 0.5000 0.5000  4 Cu 2.32
Cu 0.7500 0.7500 0.7500  4 Be 2.32, 4 Si 2.32

=====

(10)
Material: TeCl3O
Method: DFT, PBE-GGA
State: optimized geometry

Computed properties:
DOS(E_F) = 4.5 states/eV/cell
Formation energy (no corrections) = -0.50 eV/atom
ΔE to the lowest computed polymorph = 0 meV/atom
Final energy = -0.1185 Ha/atom

Lattice parameters (Å, degrees): 8.2540 3.9546 23.8247 132.43 90.00 90.00
Closest atoms and distances in Å follow each position.
Positions (direct):
O 0.7551 0.4918 0.6864  2 Te 2.04
O 0.7551 0.5082 0.8136  2 Te 2.04
O 0.2449 0.5082 0.3136  2 Te 2.04
O 0.2449 0.4918 0.1864  2 Te 2.04
Cl 0.2449 0.6650 0.4750  1 Te 2.34
Cl 0.2449 0.3350 0.0250  1 Te 2.34
Cl 0.7551 0.3350 0.5250  1 Te 2.34
Cl 0.0480 0.8768 0.6581  1 Te 2.42
Cl 0.4619 0.8763 0.6581  1 Te 2.42
Cl 0.7551 0.6650 0.9750  1 Te 2.34
Cl 0.0480 0.1232 0.8419  1 Te 2.42
Cl 0.5381 0.1237 0.3419  1 Te 2.42
Cl 0.4619 0.1237 0.8419  1 Te 2.42
Cl 0.9520 0.1232 0.3419  1 Te 2.42
Cl 0.5381 0.8763 0.1581  1 Te 2.42
Cl 0.9520 0.8768 0.1581  1 Te 2.42
Te 0.2451 0.8751 0.1578  2 O 2.04
Te 0.7549 0.1249 0.8422  2 O 2.04
Te 0.7549 0.8751 0.6578  2 O 2.04
Te 0.2451 0.1249 0.3422  2 O 2.04

=====

(11)
Material: Nd2AlRu3
Method: DFT, PBE-GGA
State: optimized geometry

Computed properties:
DOS(E_F) = 14.3 states/eV/cell
Calculated formation energy = -0.31 eV/atom
Final energy = -0.2630 Ha/atom

Lattice parameters (Å, degrees): 5.5438 5.5438 8.5864 90.00 90.00 120.00
Closest atoms and distances in Å follow each position.
Positions (direct):
Nd 0.3333 0.6667 0.9332  4 Nd 3.15-3.40, 9 Ru 3.15-3.19, 3 Al 3.25
Nd 0.6667 0.3333 0.4332  4 Nd 3.15-3.40, 9 Ru 3.15-3.19, 3 Al 3.25
Nd 0.3333 0.6667 0.5668  4 Nd 3.15-3.40, 9 Ru 3.15-3.19, 3 Al 3.25
Nd 0.6667 0.3333 0.0668  4 Nd 3.15-3.40, 9 Ru 3.15-3.19, 3 Al 3.25
Ru 0.1684 0.3369 0.2500  2 Al 2.69, 4 Ru 2.74-2.80
Ru 0.1684 0.8316 0.2500  2 Al 2.69, 4 Ru 2.74-2.80
Ru 0.8316 0.1684 0.7500  2 Al 2.69, 4 Ru 2.74-2.80
Ru 0.8316 0.6631 0.7500  2 Al 2.69, 4 Ru 2.74-2.80
Ru 0.3369 0.1684 0.7500  2 Al 2.69, 4 Ru 2.74-2.80
Ru 0.6631 0.8316 0.2500  2 Al 2.69, 4 Ru 2.74-2.80
Al 0.0000 0.0000 0.0000  6 Ru 2.69
Al 0.0000 0.0000 0.5000  6 Ru 2.69

=====

(12)
Material: La2HoUP4
Method: DFT, PBE-GGA
State: optimized geometry

Computed properties:
DOS(E_F) = 7.5 states/eV/cell
Calculated formation energy = -1.42 eV/atom
Final energy = -0.2696 Ha/atom

Lattice parameters (Å, degrees): 4.0906 7.0823 7.1549 109.14 90.00 90.00
Closest atoms and distances in Å follow each position.
Positions (direct):
P 0.0000 0.7494 0.2291  1 U 2.78, 2 Ho 2.84, 3 La 2.97-3.02
P 0.0000 0.2506 0.7709  1 U 2.78, 2 Ho 2.84, 3 La 2.97-3.02
P 0.5000 0.7612 0.7726  2 U 2.81, 1 Ho 2.84, 3 La 2.97-3.01
P 0.5000 0.2388 0.2274  2 U 2.81, 1 Ho 2.84, 3 La 2.97-3.01
U 0.0000 0.0000 0.0000  6 P 2.78-2.81
Ho 0.5000 0.5000 0.0000  6 P 2.84
La 0.0000 0.5000 0.5000  6 P 3.01-3.02
La 0.5000 0.0000 0.5000  6 P 2.97

=====

(13)
Material: Cu5AsAu6
Method: DFT, PBE-GGA
State: optimized geometry

Computed properties:
DOS(E_F) = 2.3 states/eV/cell
Calculated formation energy = 0.01 eV/atom
Final energy = -0.1367 Ha/atom

Lattice parameters (Å, degrees): 4.1730 7.5219 7.5219 112.68 106.10 106.10
Closest atoms and distances in Å follow each position.
Positions (direct):
Au 0.7380 0.9081 0.5680  7 Cu 2.70-2.82, 1 As 2.85, 4 Au 2.90-2.98
Au 0.7717 0.2717 0.2717  6 Cu 2.66-2.82, 2 As 2.86
Au 0.2620 0.0919 0.4320  7 Cu 2.70-2.82, 1 As 2.85, 4 Au 2.90-2.98
Au 0.2620 0.4320 0.0919  7 Cu 2.70-2.82, 1 As 2.85, 4 Au 2.90-2.98
Au 0.7380 0.5680 0.9081  7 Cu 2.70-2.82, 1 As 2.85, 4 Au 2.90-2.98
Au 0.2283 0.7283 0.7283  6 Cu 2.66-2.82, 2 As 2.86
Cu 0.5000 0.5000 0.5000  8 Au 2.66-2.74
Cu 0.0000 0.6737 0.3263  8 Au 2.70-2.73, 4 Cu 2.93-3.01
Cu 0.0000 0.3263 0.6737  8 Au 2.70-2.73, 4 Cu 2.93-3.01
Cu 0.5000 0.1618 0.8382  8 Au 2.72-2.82, 2 As 2.91, 2 Cu 2.93
Cu 0.5000 0.8382 0.1618  8 Au 2.72-2.82, 2 As 2.91, 2 Cu 2.93
As 0.0000 0.0000 0.0000  8 Au 2.85-2.86, 4 Cu 2.91